The following is a PBE-GGA calculation of crystalline Ca2Ga9Co3 at its relaxed geometry, from Alexandria.

## Properties
E_form (meV per atom): -376
Magnetic moment (μB per cell): 0.0
Theoretical density (Mg/m³): 6.50
Density of states at the Fermi level (states/eV per atom): 0.4779

Geometry as extended XYZ:
```
28
Lattice="-4.0625 -5.6890 -2.3032 4.6797 3.3173 -4.6117 8.1316 -3.4070 5.7861" Properties=species:S:1:pos:R:3 pbc="T T T"
Ga 3.1340 -7.1376 1.6919
Ga 11.7512 -0.6786 0.6355
Ga 8.5413 -2.0859 -0.9394
Ga 2.0609 -1.7537 -0.6890
Ga 8.7572 -3.6365 1.3589
Ga -3.0023 -5.1001 -1.7643
Ga 5.8245 -6.6533 2.1663
Ga 5.6149 1.3590 -2.8207
Ga 6.6880 -4.0249 -0.4398
Ga 3.1973 -4.3529 1.1321
Ga 3.6891 -1.7180 1.5541
Ga 0.2076 -3.6928 -0.1893
Ga 6.1951 -1.4095 0.3664
Ga -0.0083 -2.1421 -2.4877
Ga 5.0598 -4.0607 -2.6829
Ga 2.9244 0.8747 -3.2951
Ga 5.5516 -1.4257 -2.2609
Ga 2.5539 -4.3691 -1.4952
Co 7.8360 -5.9358 0.8429
Co 0.9129 0.1571 -1.9717
Co 7.3101 0.1449 -1.2895
Co 4.3745 -2.8893 -0.5644
Co -2.0312 -2.8445 -1.1516
Co 1.4388 -5.9235 0.1607
Ca 4.7772 -6.2986 -0.6580
Ca 5.9037 -3.6337 2.4204
Ca 2.8452 -2.1449 -3.5492
Ca 3.9717 0.5199 -0.4708
```